(1)
Material: BaSn6Hg12
Method: DFT, PBE
State: optimized geometry

Calculated values
Magnetization (μB per formula unit): 0.0
DFT formation energy (kcal/mol of atoms): -0.38
Density (g cm⁻³): 9.83
Energy above the most stable polymorph in this dataset (meV/atom): 39
VASP energy (hartree per atom): -0.05778

Cell lengths 8.5174, 8.5174, 8.5174 Å; angles 104.09, 104.09, 104.09 degrees
Sites, in units of the cell vectors:
Hg 0.6316 0.8716 0.6316
Hg 0.3684 0.3684 0.1284
Hg 0.3684 0.1284 0.3684
Hg 0.8932 0.5000 0.1068
Hg 0.6316 0.6316 0.8716
Hg 0.5000 0.1068 0.8932
Hg 0.8716 0.6316 0.6316
Hg 0.1068 0.8932 0.5000
Hg 0.8932 0.1068 0.5000
Hg 0.5000 0.8932 0.1068
Hg 0.1068 0.5000 0.8932
Hg 0.1284 0.3684 0.3684
Sn 0.3077 0.7166 0.3077
Sn 0.6923 0.6923 0.2834
Sn 0.3077 0.3077 0.7166
Sn 0.7166 0.3077 0.3077
Sn 0.2834 0.6923 0.6923
Sn 0.6923 0.2834 0.6923
Ba 0.0000 0.0000 0.0000



(2)
Material: LiMgN2
Method: DFT, PBE
State: optimized geometry

Calculated values
Magnetization (μB per formula unit): 3.0
ΔE_f (raw) (meV per atom): 667
Density (g cm⁻³): 1.79
VASP energy (hartree per atom): -0.16069

Cell lengths 6.3241, 6.3241, 6.3241 Å; angles 29.67, 29.67, 29.67 degrees
Sites, in units of the cell vectors:
Li 0.0000 0.0000 0.0000
N 0.1051 0.1051 0.1051
N 0.8949 0.8949 0.8949
Mg 0.5000 0.5000 0.5000



(3)
Material: Pr2AsP
Method: DFT, PBE
State: optimized geometry

Calculated values
Magnetization (μB per formula unit): 0.0
DFT formation energy (kcal/mol of atoms): -34.74
Density (g cm⁻³): 5.90
Energy above the most stable polymorph in this dataset (meV/atom): 0
VASP energy (hartree per atom): -0.23560

Cell lengths 4.2566, 4.2566, 7.3729 Å; angles 73.22, 73.22, 60.00 degrees
Sites, in units of the cell vectors:
Pr 0.2521 0.2521 0.2436
Pr 0.7479 0.7479 0.7564
P 0.0000 0.0000 0.0000
As 0.5000 0.5000 0.5000



(4)
Material: Y3NbF
Method: DFT, PBE
State: optimized geometry

Calculated values
Magnetization (μB per formula unit): 0.0
ΔE_f (raw) (meV per atom): -716
Density (g cm⁻³): 5.53
Energy above the most stable polymorph in this dataset (meV/atom): 0
VASP energy (hartree per atom): -0.25660

Cell lengths 4.8430, 4.8430, 4.8430 Å; angles 90.00, 90.00, 90.00 degrees
Sites, in units of the cell vectors:
Y 0.0000 0.5000 0.0000
Y 0.5000 0.0000 0.0000
Y 0.0000 0.0000 0.5000
Nb 0.5000 0.5000 0.5000
F 0.0000 0.0000 0.0000